## HfAgCl2 (PBE)

Data for a relaxed HfAgCl2 crystal.

Volume: 74 Å³/cell
Uncorrected formation energy: -64 meV per atom
Offset from the most stable computed form: 768 meV/atom
DOS at the Fermi energy: 2.95 states/eV/cell

```
4
Lattice="0.000 3.332 3.332 3.332 0.000 3.332 3.332 3.332 0.000" Properties=species:S:1:pos:R:3 pbc="T T T"
Hf 0.000 0.000 0.000
Ag 3.332 3.332 3.332
Cl 1.666 1.666 1.666
Cl 4.998 4.998 4.998
```